Ir2CO: relaxed, PBE.

```
data_Ir2CO
_chemical_formula_sum 'Ir8 C4 O4'
_space_group_name_H-M_alt 'F m -3 m'
_space_group_IT_number 225
_space_group_name_Hall '-F 4 2 3'
_cell_length_a 5.5041
_cell_length_b 5.5041
_cell_length_c 5.5041
_cell_angle_alpha 90.00
_cell_angle_beta 90.00
_cell_angle_gamma 90.00
loop_
_atom_site_label
_atom_site_fract_x
_atom_site_fract_y
_atom_site_fract_z
Ir1 0.2500 0.2500 0.2500
C1 0.0000 0.0000 0.0000
O1 0.0000 0.0000 0.5000
```

Relative energy among the computed polymorphs, meV per atom: 801.6
N(E_F), states/eV/atom: 0.50
Formation energy from raw total energies, meV/atom: 1181


Sm3Te2N: relaxed, PBE.

```
data_Sm3Te2N
_chemical_formula_sum 'Sm12 Te8 N4'
_space_group_name_H-M_alt 'C m c 21'
_space_group_IT_number 36
_space_group_name_Hall 'C 2c -2'
_cell_length_a 12.2779
_cell_length_b 8.0794
_cell_length_c 6.6589
_cell_angle_alpha 90.00
_cell_angle_beta 90.00
_cell_angle_gamma 90.00
loop_
_atom_site_label
_atom_site_fract_x
_atom_site_fract_y
_atom_site_fract_z
Sm1 0.0000 0.1377 0.0000
Sm2 0.1372 0.4895 0.3420
Te1 0.1584 0.1630 0.6145
N1 0.0000 0.4123 0.0955
```

N(E_F), states/eV/atom: 0.74
Formation energy from raw total energies, meV/atom: -1280


Hf2ThMn: relaxed, PBE.

```
data_Hf2ThMn
_chemical_formula_sum 'Hf2 Th1 Mn1'
_space_group_name_H-M_alt 'P 4/m m m'
_space_group_IT_number 123
_space_group_name_Hall '-P 4 2'
_cell_length_a 3.2428
_cell_length_b 3.2428
_cell_length_c 8.1068
_cell_angle_alpha 90.00
_cell_angle_beta 90.00
_cell_angle_gamma 90.00
loop_
_atom_site_label
_atom_site_fract_x
_atom_site_fract_y
_atom_site_fract_z
Hf1 0.0000 0.0000 0.1844
Th1 0.5000 0.5000 0.5000
Mn1 0.5000 0.5000 0.0000
```

N(E_F), states/eV/atom: 0.77
ΔH_f (0 K), kJ/mol of atoms: 0


Q: Which formula does entry 3 have?
A: Hf2ThMn


What did the third record say?
Hf2ThMn: relaxed, PBE.

```
data_Hf2ThMn
_chemical_formula_sum 'Hf2 Th1 Mn1'
_space_group_name_H-M_alt 'P 4/m m m'
_space_group_IT_number 123
_space_group_name_Hall '-P 4 2'
_cell_length_a 3.2428
_cell_length_b 3.2428
_cell_length_c 8.1068
_cell_angle_alpha 90.00
_cell_angle_beta 90.00
_cell_angle_gamma 90.00
loop_
_atom_site_label
_atom_site_fract_x
_atom_site_fract_y
_atom_site_fract_z
Hf1 0.0000 0.0000 0.1844
Th1 0.5000 0.5000 0.5000
Mn1 0.5000 0.5000 0.0000
```

N(E_F), states/eV/atom: 0.77
ΔH_f (0 K), kJ/mol of atoms: 0